(1)
Cr2CdMo: optimized geometry, PBE.

Unit cell a=3.212 b=3.210 c=5.977 alpha=90.00 beta=90.00 gamma=90.00
Sites, in units of the cell vectors:
Cr 0.000 0.000 0.445
Cr 0.000 0.000 0.055
Cd 0.500 0.500 0.750
Mo 0.500 0.500 0.250

Output
The total DFT energy (no corrections) comes out at -0.270 Ha/atom. For the formation energy from the elements, the calculation gives 393 meV per atom.



(2)
CrCd2Mo: optimized geometry, PBE.

Unit cell a=7.614 b=7.614 c=6.025 alpha=50.81 beta=50.81 gamma=90.00
Each line ends with the local moment (μB).
Sites, in units of the cell vectors:
Mo 0.750 0.250 0.500  -1.28
Mo 0.000 0.000 0.000  -1.28
Cd 0.875 0.868 0.750  0.01
Cd 0.618 0.125 0.250  0.02
Cd 0.132 0.625 0.250  0.02
Cd 0.375 0.382 0.750  0.02
Cr 0.250 0.750 0.500  3.33
Cr 0.500 0.500 0.000  3.33

Output
The total DFT energy (no corrections) comes out at -0.169 Ha/atom. The value obtained for the energy above the most stable polymorph in this dataset is 0.665 eV per atom. For the formation energy from the elements, the calculation gives 965 meV per atom.